First-principles (PBE) data for CeGdSb2 after structural relaxation, as listed in Alexandria via LeMat-Bulk.

Output
- Uncorrected formation energy: -0.891 eV/atom
- Uncorrected energy: -31.826 eV/cell
- Fermi-level density of states: 7.36 states/eV/cell
- ΔE to the lowest computed polymorph: 213 meV/atom
- Calculated volume: 111.2 Å³/cell

Cell: 5.634 5.634 3.503 Å, 90.00 90.00 90.00°
Space group P4/mmm (No. 123)
Inequivalent atoms, fractional coordinates:
Ce 0.000 0.000 0.000
Gd 0.500 0.500 0.000
Sb 0.000 0.500 0.500